Entry from Alexandria: a relaxed structure of Ti2VInH (GGA-PBE).

Output
E (eV/atom): -6.380
ρ (g/cm³): 6.3

The structure in POSCAR format:
```
Ti2VInH
1.0
4.270 0.000 0.000
0.000 4.270 0.000
0.000 0.000 3.801
Ti H V In
2 1 1 1
Direct
0.000 0.500 0.000
0.500 0.000 0.000
0.000 0.000 0.000
0.000 0.000 0.500
0.500 0.500 0.500
```

Entry from Alexandria: a relaxed structure of TiInH2W (GGA-PBE).

Output
E (eV/atom): -5.065
ρ (g/cm³): 7.5

The structure in POSCAR format:
```
TiInH2W
1.0
3.736 0.000 0.000
0.000 5.515 0.000
0.000 0.000 3.736
Ti In W H
1 1 1 2
Direct
0.000 0.000 0.000
0.000 0.500 0.000
0.500 0.500 0.500
0.000 0.000 0.500
0.500 0.000 0.000
```

Entry from Alexandria: a relaxed structure of Y2TiInH (GGA-PBE).

Output
E (eV/atom): -5.645
ρ (g/cm³): 5.5

The structure in POSCAR format:
```
Y2TiInH
1.0
-4.032 -1.170 2.720
-0.559 -4.212 -2.640
2.393 -2.001 2.686
Y In Ti H
2 1 1 1
Direct
0.500 0.000 0.000
0.000 0.500 0.000
0.500 0.500 0.500
0.000 0.000 0.500
0.000 0.000 0.000
```

Entry from Alexandria: a relaxed structure of Ti2ZnInH (GGA-PBE).

Output
E (eV/atom): -4.828
ρ (g/cm³): 6.5
Energy above the most stable polymorph in this dataset (eV per atom): 0.000

The structure in POSCAR format:
```
Ti2ZnInH
1.0
4.021 0.000 0.000
0.000 4.021 0.000
0.000 0.000 4.376
Zn Ti H In
1 2 1 1
Direct
0.000 0.000 0.500
0.000 0.500 0.000
0.500 0.000 0.000
0.000 0.000 0.000
0.500 0.500 0.500
```

Entry from Alexandria: a relaxed structure of Zr2TiInH (GGA-PBE).

Output
E (eV/atom): -6.537
ρ (g/cm³): 6.8
Energy above the most stable polymorph in this dataset (eV per atom): 0.000

The structure in POSCAR format:
```
Zr2TiInH
1.0
-3.834 -2.087 -0.786
1.515 -3.585 2.126
-1.588 1.524 3.703
In Ti Zr H
1 1 2 1
Direct
0.500 0.500 0.500
0.000 0.000 0.500
0.000 0.500 0.000
0.500 0.000 0.000
0.000 0.000 0.000
```

Entry from Alexandria: a relaxed structure of Zr2TiInH (GGA-PBE).

Output
E (eV/atom): -6.370
ρ (g/cm³): 6.6
Energy above the most stable polymorph in this dataset (eV per atom): 0.168

The structure in POSCAR format:
```
Zr2TiInH
1.0
-3.391 -0.231 -2.493
-1.993 -2.290 2.923
-1.752 4.085 2.005
H Ti Zr In
1 1 2 1
Direct
0.000 0.000 0.000
0.500 0.500 0.500
0.000 0.500 0.000
0.500 0.000 0.000
0.000 0.000 0.500
```